DFT (PBE) results for crystalline Be4Ru at its relaxed geometry.

Results
spin magnetization: 0.00 μB/atom
energy relative to the elements: -0.22 eV/atom
relative energy among the computed polymorphs: 72 meV/atom

extended XYZ file:
```
5
Lattice="-2.771 2.771 1.528 2.771 -2.771 1.528 2.771 2.771 -1.528" Properties=species:S:1:pos:R:3 pbc="T T T"
Be 3.881 0.573 0.000
Be 0.573 1.661 0.000
Be 2.198 1.110 1.528
Be -1.110 2.198 1.528
Ru 0.000 0.000 1.528
```